First-principles (GGA+U) data for a relaxed structure of Na3Ge3Mo2O12, as listed in Alexandria via LeMat-Bulk.

Cell lengths 12.588, 12.588, 12.588 Å; angles 90.00, 90.00, 90.00 degrees
Space group Ia-3d (No. 230)
One atom of each set of equivalent atoms:
Na (0.000, 0.250, 0.125)
Ge (0.000, 0.250, 0.375)
Mo (0.000, 0.000, 0.000)
O (0.036, 0.046, 0.650)

The density of states at the Fermi level comes out at 42.77 states/eV/cell. As for the total energy: -6.298 eV/atom.